[1]
Compound: Sc3CdN
Source: Alexandria
Functional: GGA-PBE
Structure: optimized geometry

Values from the calculation:
energy relative to the elements, uncorrected: -0.21 eV per atom
crystal system: orthorhombic
space group: Amm2 (38)

a = 3.1210 Å, b = 8.1844 Å, c = 8.1844 Å
α = 135.97°, β = 90.00°, γ = 90.00°
Last column: nearest neighbours and their distance in Å.
Positions (direct):
N (0.0000, 0.4170, 0.5830)  5 Sc 2.14-2.23
Sc (0.0000, 0.2700, 0.7300)  1 N 2.23
Sc (0.5000, 0.1849, 0.3386)  2 N 2.14
Sc (0.5000, 0.6614, 0.8151)  2 N 2.14
Cd (0.5000, 0.0948, 0.9052)  4 Sc 3.06-3.08, 2 Cd 3.12


[2]
Compound: LaAg2Os
Source: Alexandria
Functional: GGA-PBE
Structure: optimized geometry

Values from the calculation:
polymorph energy (0 for the lowest one): 141 meV per atom
E_form: 1.42 eV/f.u.
crystal system: orthorhombic
space group: Pmm2 (25)

a = 3.2220 Å, b = 4.0413 Å, c = 6.3791 Å
α = 90.00°, β = 90.00°, γ = 90.00°
Last column: nearest neighbours and their distance in Å.
Positions (direct):
La (0.0000, 0.0000, 0.5309)  4 Os 2.97, 5 Ag 3.02-3.32, 2 La 3.22
Os (0.5000, 0.5000, 0.7589)  5 Ag 2.85-3.02, 4 La 2.97
Ag (0.5000, 0.5000, 0.2052)  1 Os 2.85, 4 Ag 2.88
Ag (0.0000, 0.0000, 0.0050)  6 Ag 2.88-3.22, 4 Os 3.02, 1 La 3.02


[3]
Compound: Ta2OsPt
Source: Alexandria
Functional: GGA-PBE
Structure: optimized geometry

Values from the calculation:
E_form: -0.51 eV/f.u.
crystal system: cubic
space group: F-43m (216)

a = 4.5279 Å, b = 4.5279 Å, c = 4.5279 Å
α = 60.00°, β = 60.00°, γ = 60.00°
Last column: nearest neighbours and their distance in Å.
Positions (direct):
Ta (0.2500, 0.2500, 0.2500)  4 Ta 2.77, 4 Os 2.77
Ta (0.0000, 0.0000, 0.0000)  4 Ta 2.77, 4 Pt 2.77
Pt (0.7500, 0.7500, 0.7500)  4 Ta 2.77, 4 Os 2.77
Os (0.5000, 0.5000, 0.5000)  4 Ta 2.77, 4 Pt 2.77


[4]
Compound: CsK4Rb3
Source: Alexandria
Functional: GGA-PBE
Structure: optimized geometry

Values from the calculation:
polymorph energy (0 for the lowest one): 31 meV per atom
E_form: 0.30 eV/f.u.
crystal system: monoclinic
space group: Cm (8)

a = 4.6439 Å, b = 16.8829 Å, c = 9.4956 Å
α = 103.58°, β = 75.85°, γ = 82.09°
Last column: nearest neighbours and their distance in Å.
Positions (direct):
K (0.9995, 0.2475, 0.7534)  5 K 4.64-5.06, 3 Rb 4.66-4.83, 1 Cs 4.71
K (0.3565, 0.7513, 0.5357)  4 Rb 4.63-4.94, 5 K 4.64-5.03, 1 Cs 4.72
K (0.1014, 0.7475, 0.0496)  5 K 4.64-5.03, 5 Rb 4.81-5.13, 2 Cs 5.10
K (0.2564, 0.2464, 0.2408)  5 K 4.64-5.06, 4 Rb 4.77-4.97, 2 Cs 5.06
Rb (0.0440, 0.0035, 0.9085)  5 K 4.63-4.93, 5 Rb 4.64-4.99
Rb (0.9197, 0.5141, 0.6465)  2 Rb 4.64, 3 Cs 4.73-5.06, 6 K 4.83-5.13
Rb (0.3127, 0.9928, 0.3818)  5 K 4.64-4.96, 5 Rb 4.64-4.99
Cs (0.6764, 0.4968, 0.1504)  2 Cs 4.64, 6 K 4.71-5.10, 3 Rb 4.73-5.06